12
Lattice="8.410 -0.489 0.000 -3.644 7.596 0.000 -2.383 -3.553 5.033" Properties=species:S:1:pos:R:3 comment="LiPmPb | the Alexandria database | PBE | relaxed" formation_enthalpy_0k_ev_per_atom=-0.28 mass_density_g_cm3=7.6 sg="Fddd (70)" pbc="T T T"
Pm 2.103 -0.122 3.775
Pm 1.472 5.452 1.258
Pm 3.294 1.654 1.258
Pm -2.103 0.122 3.775
Li 2.383 3.553 3.798
Li 0.000 0.000 1.235
Li -1.822 3.798 3.752
Li -1.822 3.798 1.281
Pb -3.900 5.192 2.516
Pb 6.332 0.905 0.000
Pb -1.566 6.202 0.000
Pb 0.256 2.404 2.516